NaNpNiO4 | Alexandria | PBE with a Hubbard U | optimized geometry; D(E_F) = 5.53 states/eV/cell; SG = Imma, No. 74; final energy = -7.38 eV per atom
1.0
6.982 0.000 0.000
-3.491 5.337 -0.534
0.000 -3.355 5.518
O Ni Np Na
8 2 2 2
direct
0.252 0.504 0.292 O
0.748 0.496 0.288 O
0.252 0.504 0.712 O
0.692 0.974 0.737 O
0.748 0.496 0.708 O
0.282 0.974 0.737 O
0.308 0.026 0.263 O
0.718 0.026 0.263 O
0.500 0.000 0.500 Ni
0.500 0.000 0.000 Ni
0.000 0.500 0.500 Np
0.500 0.500 0.500 Np
0.115 0.230 0.865 Na
0.885 0.770 0.135 Na